No. 1
The following is a PBE-GGA calculation of a geometry-optimized Ti4C2Se structure, from the Alexandria database.

## Properties
formation energy from raw total energies = -5.999 eV per formula unit
space-group type = Cmcm, No. 63
electronic total energy = -0.3124 hartree per atom

a = 3.2338 Å, b = 5.4319 Å, c = 10.8750 Å
α = 90.00°, β = 90.00°, γ = 107.32°
Last column: nearest neighbours and their distance in Å.
Atoms (fractional coordinates):
C 0.8658 0.7316 0.5620  6 Ti 2.12-2.24
Ti 0.2404 0.4809 0.6048  3 C 2.12-2.13
Ti 0.2404 0.4809 0.8952  3 C 2.12-2.13
C 0.1342 0.2684 0.0620  6 Ti 2.12-2.24
Ti 0.7596 0.5191 0.3952  3 C 2.12-2.13
Ti 0.5000 0.0000 0.0000  4 C 2.24
Ti 0.9216 0.8431 0.7500  2 C 2.12
Ti 0.5000 0.0000 0.5000  4 C 2.24
Se 0.3897 0.7794 0.2500  6 Ti 2.54-2.63
Ti 0.0784 0.1569 0.2500  2 C 2.12
C 0.1342 0.2684 0.4380  6 Ti 2.12-2.24
Ti 0.7596 0.5191 0.1048  3 C 2.12-2.13
Se 0.6103 0.2206 0.7500  6 Ti 2.54-2.63
C 0.8658 0.7316 0.9380  6 Ti 2.12-2.24

No. 2
The following is a PBE-GGA calculation of a geometry-optimized MgScAl2 structure, from the Alexandria database.

## Properties
formation energy = -0.7 eV per formula unit
space-group type = Cm, No. 8
electronic total energy = -0.1483 hartree per atom

a = 5.5648 Å, b = 5.5648 Å, c = 4.9479 Å
α = 71.80°, β = 71.80°, γ = 33.19°
Last column: nearest neighbours and their distance in Å.
Atoms (fractional coordinates):
Mg 0.4884 0.4884 0.5475  7 Al 2.93-3.04, 2 Mg 3.18, 2 Sc 3.29
Al 0.7318 0.7318 0.7194  2 Al 2.81, 4 Sc 2.94-2.97, 3 Mg 2.98-3.04
Al 0.0164 0.0164 0.0326  2 Al 2.81, 4 Mg 2.93-2.97, 3 Sc 3.01
Sc 0.2634 0.2634 0.2004  7 Al 2.94-3.01, 2 Sc 3.18, 2 Mg 3.29

No. 3
The following is a PBE-GGA calculation of a geometry-optimized Cs4Tl4Au structure, from the Alexandria database.

## Properties
formation energy = -0.6 eV per formula unit
space-group type = I-42m, No. 121
electronic total energy = -0.0686 hartree per atom

a = 6.7382 Å, b = 11.1148 Å, c = 6.7382 Å
α = 72.36°, β = 90.00°, γ = 107.64°
Last column: nearest neighbours and their distance in Å.
Atoms (fractional coordinates):
Tl 0.3373 0.0974 0.2399  1 Au 2.92
Au 0.0000 0.0000 0.0000  4 Tl 2.92
Cs 0.0794 0.6960 0.3834  1 Au 3.77, 5 Tl 3.86-4.09
Tl 0.2399 0.9026 0.7601  1 Au 2.92
Tl 0.7601 0.0974 0.6627  1 Au 2.92
Cs 0.3834 0.3040 0.6166  1 Au 3.77, 5 Tl 3.86-4.09
Cs 0.6166 0.6960 0.9206  1 Au 3.77, 5 Tl 3.86-4.09
Tl 0.6627 0.9026 0.3373  1 Au 2.92
Cs 0.9206 0.3040 0.0794  1 Au 3.77, 5 Tl 3.86-4.09

Number 1 is which compound? Ti4C2Se

Which value of electronic total energy does entry 1 give? -0.3124 hartree per atom

Copy entry 2 word for word.
The following is a PBE-GGA calculation of a geometry-optimized MgScAl2 structure, from the Alexandria database.

## Properties
formation energy = -0.7 eV per formula unit
space-group type = Cm, No. 8
electronic total energy = -0.1483 hartree per atom

a = 5.5648 Å, b = 5.5648 Å, c = 4.9479 Å
α = 71.80°, β = 71.80°, γ = 33.19°
Last column: nearest neighbours and their distance in Å.
Atoms (fractional coordinates):
Mg 0.4884 0.4884 0.5475  7 Al 2.93-3.04, 2 Mg 3.18, 2 Sc 3.29
Al 0.7318 0.7318 0.7194  2 Al 2.81, 4 Sc 2.94-2.97, 3 Mg 2.98-3.04
Al 0.0164 0.0164 0.0326  2 Al 2.81, 4 Mg 2.93-2.97, 3 Sc 3.01
Sc 0.2634 0.2634 0.2004  7 Al 2.94-3.01, 2 Sc 3.18, 2 Mg 3.29